Density functional theory data (GGA-PBE) for an optimized crystal structure of TmSn2Pd4.

The space group is R-3m (No. 166, hexagonal axes) and the conventional cell measures 4.6100, 4.6100 and 22.4215 Å, with angles of 90.00, 90.00 and 120.00 degrees. The asymmetric unit holds Tm at (0.0000, 0.0000, 0.0000), Sn at (0.0000, 0.0000, 0.2483), Pd at (0.0000, 0.0000, 0.1278) and Pd at (0.0000, 0.0000, 0.3972).

The value obtained for the formation energy is -623.1 meV/atom. As for the size of the total moment: 0.0 μB per formula unit. The calculation puts the total energy at -5.373 eV/atom.